Below is an optimized crystal structure of NiRh2W, with properties calculated at the PBE-GGA level.

The structure in POSCAR format:
```
NiRh2W
1.0
3.1859 0.0000 0.0000
0.0000 3.1859 0.0000
0.0000 0.0000 5.6006
Ni Rh W
1 2 1
direct
0.0000 0.0000 0.0000
0.0000 0.0000 0.5318
0.5000 0.5000 0.2296
0.5000 0.5000 0.7835
```

ΔE_f = 38 meV per atom
Symmetry = No. 99
ΔE to the lowest computed polymorph = 274 meV/atom
Raw total energy = -33.3 eV for the cell shown
Size of the total moment = 0.00 μB/f.u.



Below is an optimized crystal structure of NiRh2W, with properties calculated at the PBE-GGA level.

The structure in POSCAR format:
```
NiRh2W
1.0
0.0000 3.0374 3.0374
3.0374 0.0000 3.0374
3.0374 3.0374 0.0000
Ni Rh W
1 2 1
direct
0.0000 0.0000 0.0000
0.2500 0.2500 0.2500
0.7500 0.7500 0.7500
0.5000 0.5000 0.5000
```

ΔE_f = -29 meV per atom
Symmetry = No. 225
ΔE to the lowest computed polymorph = 207 meV/atom
Raw total energy = -33.6 eV for the cell shown
Size of the total moment = 0.00 μB/f.u.



Below is an optimized crystal structure of Ni7Rh2W2, with properties calculated at the PBE-GGA level.

The structure in POSCAR format:
```
Ni7Rh2W2
1.0
3.7043 -3.6861 0.0000
3.7043 3.6861 0.0000
-1.9955 0.0000 5.2841
Ni Rh W
7 2 2
direct
0.0000 0.0000 0.0000
0.1045 0.5542 0.8398
0.2427 0.2427 0.4924
0.4458 0.8955 0.1602
0.5542 0.1045 0.8398
0.7573 0.7573 0.5076
0.8955 0.4458 0.1602
0.2356 0.7644 0.5000
0.7644 0.2356 0.5000
0.4026 0.4026 0.1833
0.5974 0.5974 0.8167
```

ΔE_f = 90 meV per atom
Symmetry = No. 12
Raw total energy = -80.1 eV for the cell shown
Size of the total moment = 0.36 μB/f.u.